No. 1
Entry from Alexandria: crystalline Ag6S2I at its relaxed geometry (PBE).

Summary:
SG: No. 12
crystal system: monoclinic

a b c (Å): 6.9589 6.9589 9.0009
angles (deg): 112.12 112.12 35.61
With the nearest neighbours (Å) after each atom.
Positions (direct):
1 Ag 0.0565 0.0565 0.3591  2 S 2.59-2.60
2 Ag 0.2954 0.2954 0.4283  2 S 2.55
3 Ag 0.3539 0.3539 0.7875  1 S 2.53
4 Ag 0.6461 0.6461 0.2125  1 S 2.53
5 Ag 0.7046 0.7046 0.5717  2 S 2.55
6 Ag 0.9435 0.9435 0.6409  2 S 2.59-2.60
7 S 0.1464 0.1464 0.6733  5 Ag 2.53-2.60
8 S 0.8536 0.8536 0.3267  5 Ag 2.53-2.60
9 I 0.0000 0.0000 0.0000  6 Ag 3.00-3.02

No. 2
Entry from Alexandria: crystalline Ag12S5I3 at its relaxed geometry (PBE).

Summary:
SG: No. 230
crystal system: cubic

a b c (Å): 14.4573 14.4573 14.4573
angles (deg): 109.47 109.47 109.47
With the nearest neighbours (Å) after each atom.
Positions (direct):
1 Ag 0.0230 0.6419 0.6713  2 S 2.41-2.46
2 Ag 0.0230 0.8811 0.3516  2 S 2.41-2.46
3 Ag 0.0295 0.6713 0.1484  2 S 2.41-2.46
4 Ag 0.0295 0.8581 0.8811  2 S 2.41-2.46
5 Ag 0.1189 0.6484 0.9770  2 S 2.41-2.46
6 Ag 0.1189 0.9705 0.1419  2 S 2.41-2.46
7 Ag 0.1419 0.1189 0.9705  2 S 2.41-2.46
8 Ag 0.1419 0.5230 0.1713  2 S 2.41-2.46
9 Ag 0.1484 0.0295 0.6713  2 S 2.41-2.46
10 Ag 0.1484 0.6189 0.4770  2 S 2.41-2.46
11 Ag 0.1713 0.1419 0.5230  2 S 2.41-2.46
12 Ag 0.1713 0.5295 0.6484  2 S 2.41-2.46
13 Ag 0.3287 0.8516 0.9705  2 S 2.41-2.46
14 Ag 0.3287 0.9770 0.3581  2 S 2.41-2.46
15 Ag 0.3516 0.0230 0.8811  2 S 2.41-2.46
16 Ag 0.3516 0.8287 0.4705  2 S 2.41-2.46
17 Ag 0.3581 0.3287 0.9770  2 S 2.41-2.46
18 Ag 0.3581 0.5295 0.3811  2 S 2.41-2.46
19 Ag 0.3811 0.3581 0.5295  2 S 2.41-2.46
20 Ag 0.3811 0.5230 0.8516  2 S 2.41-2.46
21 Ag 0.4705 0.3516 0.8287  2 S 2.41-2.46
22 Ag 0.4705 0.6189 0.6419  2 S 2.41-2.46
23 Ag 0.4770 0.1484 0.6189  2 S 2.41-2.46
24 Ag 0.4770 0.8287 0.8581  2 S 2.41-2.46
25 Ag 0.5230 0.1713 0.1419  2 S 2.41-2.46
26 Ag 0.5230 0.8516 0.3811  2 S 2.41-2.46
27 Ag 0.5295 0.3811 0.3581  2 S 2.41-2.46
28 Ag 0.5295 0.6484 0.1713  2 S 2.41-2.46
29 Ag 0.6189 0.4770 0.1484  2 S 2.41-2.46
30 Ag 0.6189 0.6419 0.4705  2 S 2.41-2.46
31 Ag 0.6419 0.4705 0.6189  2 S 2.41-2.46
32 Ag 0.6419 0.6713 0.0230  2 S 2.41-2.46
33 Ag 0.6484 0.1713 0.5295  2 S 2.41-2.46
34 Ag 0.6484 0.9770 0.1189  2 S 2.41-2.46
35 Ag 0.6713 0.0230 0.6419  2 S 2.41-2.46
36 Ag 0.6713 0.1484 0.0295  2 S 2.41-2.46
37 Ag 0.8287 0.4705 0.3516  2 S 2.41-2.46
38 Ag 0.8287 0.8581 0.4770  2 S 2.41-2.46
39 Ag 0.8516 0.3811 0.5230  2 S 2.41-2.46
40 Ag 0.8516 0.9705 0.3287  2 S 2.41-2.46
41 Ag 0.8581 0.4770 0.8287  2 S 2.41-2.46
42 Ag 0.8581 0.8811 0.0295  2 S 2.41-2.46
43 Ag 0.8811 0.0295 0.8581  2 S 2.41-2.46
44 Ag 0.8811 0.3516 0.0230  2 S 2.41-2.46
45 Ag 0.9705 0.1419 0.1189  2 S 2.41-2.46
46 Ag 0.9705 0.3287 0.8516  2 S 2.41-2.46
47 Ag 0.9770 0.1189 0.6484  2 S 2.41-2.46
48 Ag 0.9770 0.3581 0.3287  2 S 2.41-2.46
49 S 0.0000 0.0000 0.0000  6 Ag 2.46
50 S 0.0000 0.0000 0.5000  6 Ag 2.46
51 S 0.0000 0.5000 0.0000  6 Ag 2.46
52 S 0.0000 0.5000 0.5000  6 Ag 2.46
53 S 0.1250 0.7500 0.8750  4 Ag 2.41
54 S 0.1250 0.8750 0.2500  4 Ag 2.41
55 S 0.2500 0.1250 0.8750  4 Ag 2.41
56 S 0.2500 0.6250 0.3750  4 Ag 2.41
57 S 0.3750 0.2500 0.6250  4 Ag 2.41
58 S 0.3750 0.6250 0.7500  4 Ag 2.41
59 S 0.5000 0.0000 0.0000  6 Ag 2.46
60 S 0.5000 0.0000 0.5000  6 Ag 2.46
61 S 0.5000 0.5000 0.0000  6 Ag 2.46
62 S 0.5000 0.5000 0.5000  6 Ag 2.46
63 S 0.6250 0.3750 0.2500  4 Ag 2.41
64 S 0.6250 0.7500 0.3750  4 Ag 2.41
65 S 0.7500 0.3750 0.6250  4 Ag 2.41
66 S 0.7500 0.8750 0.1250  4 Ag 2.41
67 S 0.8750 0.1250 0.7500  4 Ag 2.41
68 S 0.8750 0.2500 0.1250  4 Ag 2.41
69 I 0.1250 0.2500 0.3750  4 Ag 3.07
70 I 0.1250 0.3750 0.7500  4 Ag 3.07
71 I 0.2500 0.3750 0.1250  4 Ag 3.07
72 I 0.2500 0.8750 0.6250  4 Ag 3.07
73 I 0.3750 0.1250 0.2500  4 Ag 3.07
74 I 0.3750 0.7500 0.1250  4 Ag 3.07
75 I 0.6250 0.2500 0.8750  4 Ag 3.07
76 I 0.6250 0.8750 0.7500  4 Ag 3.07
77 I 0.7500 0.1250 0.3750  4 Ag 3.07
78 I 0.7500 0.6250 0.8750  4 Ag 3.07
79 I 0.8750 0.6250 0.2500  4 Ag 3.07
80 I 0.8750 0.7500 0.6250  4 Ag 3.07

No. 3
Entry from Alexandria: crystalline Ag3SI2 at its relaxed geometry (PBE).

Summary:
SG: No. 15
crystal system: monoclinic

a b c (Å): 7.3508 7.3508 7.7811
angles (deg): 109.97 109.97 63.56
With the nearest neighbours (Å) after each atom.
Positions (direct):
1 Ag 0.1704 0.8296 0.7500  1 S 2.48
2 Ag 0.2966 0.4127 0.9117  2 S 2.58-2.62, 1 I 2.89
3 Ag 0.4127 0.2966 0.4117  2 S 2.58-2.62, 1 I 2.89
4 Ag 0.5873 0.7034 0.5883  2 S 2.58-2.62, 1 I 2.89
5 Ag 0.7034 0.5873 0.0883  2 S 2.58-2.62, 1 I 2.89
6 Ag 0.8296 0.1704 0.2500  1 S 2.48
7 S 0.4907 0.5093 0.7500  5 Ag 2.48-2.62
8 S 0.5093 0.4907 0.2500  5 Ag 2.48-2.62
9 I 0.1424 0.1995 0.0542  3 Ag 2.89-2.93
10 I 0.1995 0.1424 0.5542  3 Ag 2.89-2.93
11 I 0.8005 0.8576 0.4458  3 Ag 2.89-2.93
12 I 0.8576 0.8005 0.9458  3 Ag 2.89-2.93

No. 4
Entry from Alexandria: crystalline Ag4SI at its relaxed geometry (PBE).

Summary:
SG: No. 12
crystal system: monoclinic
offset from the most stable computed form: 0.113 eV per atom

a b c (Å): 4.9301 4.9301 6.6410
angles (deg): 92.24 92.24 72.32
With the nearest neighbours (Å) after each atom.
Positions (direct):
1 Ag 0.0000 0.5000 0.5000  2 S 2.47
2 Ag 0.1467 0.1467 0.1311  1 S 2.76, 3 Ag 2.85-2.93, 1 I 2.98
3 Ag 0.5000 0.0000 0.5000  2 S 2.47
4 Ag 0.8533 0.8533 0.8689  1 S 2.76, 3 Ag 2.85-2.93, 1 I 2.98
5 S 0.0000 0.0000 0.5000  4 Ag 2.47
6 I 0.5000 0.5000 0.0000  6 Ag 2.98-3.24

No. 5
Entry from Alexandria: crystalline Ag5S2I2 at its relaxed geometry (PBE).

Summary:
SG: No. 12
crystal system: monoclinic
offset from the most stable computed form: 0.000 eV per atom

a b c (Å): 7.5508 7.5508 8.4089
angles (deg): 100.70 100.70 32.88
With the nearest neighbours (Å) after each atom.
Positions (direct):
1 Ag 0.0000 0.0000 0.0000  2 S 2.41
2 Ag 0.1349 0.1349 0.6033  1 S 2.48
3 Ag 0.4351 0.4351 0.1979  2 S 2.50
4 Ag 0.5649 0.5649 0.8021  2 S 2.50
5 Ag 0.8651 0.8651 0.3967  1 S 2.48
6 S 0.1454 0.1454 0.9007  4 Ag 2.41-2.50
7 S 0.8546 0.8546 0.0993  4 Ag 2.41-2.50
8 I 0.3737 0.3737 0.6205  3 Ag 2.83-2.89
9 I 0.6263 0.6263 0.3795  3 Ag 2.83-2.89

No. 6
Entry from Alexandria: crystalline AgS8I2 at its relaxed geometry (PBE).

Summary:
SG: No. 12
crystal system: monoclinic

a b c (Å): 8.0003 8.0003 8.9588
angles (deg): 119.20 119.20 45.38
With the nearest neighbours (Å) after each atom.
Positions (direct):
1 Ag 0.0000 0.0000 0.0000  4 S 2.63
2 S 0.1844 0.6685 0.1458  2 S 2.13-2.14
3 S 0.3136 0.3136 0.9819  2 S 2.14
4 S 0.3315 0.8156 0.8542  2 S 2.13-2.14
5 S 0.4591 0.4591 0.7007  2 S 2.13
6 S 0.5409 0.5409 0.2993  2 S 2.13
7 S 0.6685 0.1844 0.1458  2 S 2.13-2.14
8 S 0.6864 0.6864 0.0181  2 S 2.14
9 S 0.8156 0.3315 0.8542  2 S 2.13-2.14
10 I 0.1263 0.1263 0.4119  4 S 3.08-3.28, 1 Ag 3.13
11 I 0.8737 0.8737 0.5881  4 S 3.08-3.28, 1 Ag 3.13

No. 7
Entry from Alexandria: crystalline Ag4SI at its relaxed geometry (PBE).

Summary:
SG: No. 15
crystal system: monoclinic
offset from the most stable computed form: 0.000 eV per atom

a b c (Å): 10.2009 10.2009 4.3457
angles (deg): 100.70 100.70 133.29
With the nearest neighbours (Å) after each atom.
Positions (direct):
1 Ag 0.0718 0.1843 0.1173  1 S 2.72, 5 Ag 2.79-3.03, 1 I 2.87
2 Ag 0.1151 0.5300 0.8007  2 S 2.61-2.63, 1 Ag 2.81, 1 I 2.81
3 Ag 0.1843 0.0718 0.6173  1 S 2.72, 5 Ag 2.79-3.03, 1 I 2.87
4 Ag 0.4700 0.8849 0.6993  2 S 2.61-2.63, 1 Ag 2.81, 1 I 2.81
5 Ag 0.5300 0.1151 0.3007  2 S 2.61-2.63, 1 Ag 2.81, 1 I 2.81
6 Ag 0.8157 0.9282 0.3827  1 S 2.72, 5 Ag 2.79-3.03, 1 I 2.87
7 Ag 0.8849 0.4700 0.1993  2 S 2.61-2.63, 1 Ag 2.81, 1 I 2.81
8 Ag 0.9282 0.8157 0.8827  1 S 2.72, 5 Ag 2.79-3.03, 1 I 2.87
9 S 0.1804 0.8196 0.7500  6 Ag 2.61-2.72
10 S 0.8196 0.1804 0.2500  6 Ag 2.61-2.72
11 I 0.4078 0.5922 0.2500  4 Ag 2.81-2.87
12 I 0.5922 0.4078 0.7500  4 Ag 2.81-2.87

No. 8
Entry from Alexandria: crystalline Ag3SI3 at its relaxed geometry (PBE).

Summary:
SG: No. 1
crystal system: triclinic

a b c (Å): 4.5393 6.6277 8.9502
angles (deg): 102.07 96.23 92.24
With the nearest neighbours (Å) after each atom.
Positions (direct):
1 Ag 0.0000 0.0000 0.0000  1 S 2.38, 1 I 2.65
2 Ag 0.0050 0.3455 0.3780  1 S 2.52, 1 I 2.74
3 Ag 0.4663 0.8397 0.2401  2 S 2.41
4 S 0.9776 0.9652 0.2579  4 Ag 2.38-2.52
5 I 0.0128 0.9762 0.7020  1 Ag 2.65
6 I 0.0186 0.4726 0.6909  1 Ag 2.74
7 I 0.4617 0.4191 0.1936  3 Ag 2.73-2.93

No. 9
Entry from Alexandria: crystalline Ag5S2I2 at its relaxed geometry (PBE).

Summary:
SG: No. 46
crystal system: orthorhombic
offset from the most stable computed form: 0.007 eV per atom

a b c (Å): 10.5656 10.5656 10.5656
angles (deg): 57.33 140.22 140.46
With the nearest neighbours (Å) after each atom.
Positions (direct):
1 Ag 0.1783 0.2553 0.4230  2 S 2.42-2.43
2 Ag 0.2041 0.0113 0.2154  2 S 2.55-2.64
3 Ag 0.2041 0.4887 0.6928  2 S 2.55-2.64
4 Ag 0.3604 0.5490 0.0701  2 S 2.47-2.57
5 Ag 0.3604 0.7902 0.3113  2 S 2.47-2.57
6 Ag 0.4789 0.0490 0.6887  2 S 2.47-2.57
7 Ag 0.4789 0.2902 0.9299  2 S 2.47-2.57
8 Ag 0.7959 0.5113 0.3072  2 S 2.55-2.64
9 Ag 0.7959 0.9887 0.7846  2 S 2.55-2.64
10 Ag 0.8324 0.7553 0.5770  2 S 2.42-2.43
11 S 0.2734 0.0685 0.7048  4 Ag 2.42-2.47
12 S 0.3049 0.3049 0.0000  6 Ag 2.55-2.64
13 S 0.3049 0.8049 0.5000  6 Ag 2.55-2.64
14 S 0.3637 0.5685 0.2952  4 Ag 2.42-2.47
15 I 0.7985 0.1988 0.3421  5 Ag 2.92-3.14
16 I 0.7985 0.9564 0.0997  5 Ag 2.92-3.14
17 I 0.8567 0.4564 0.6579  5 Ag 2.92-3.14
18 I 0.8567 0.6988 0.9003  5 Ag 2.92-3.14

No. 10
Entry from Alexandria: crystalline Ag4S2I at its relaxed geometry (PBE).

Summary:
SG: No. 63
crystal system: orthorhombic
offset from the most stable computed form: 0.021 eV per atom

a b c (Å): 7.0599 7.0599 12.0782
angles (deg): 90.00 90.00 148.37
With the nearest neighbours (Å) after each atom.
Positions (direct):
1 Ag 0.0000 0.0000 0.0000  4 S 2.58
2 Ag 0.0000 0.0000 0.5000  4 S 2.58
3 Ag 0.2513 0.7487 0.6182  3 S 2.70-2.77
4 Ag 0.2513 0.7487 0.8818  3 S 2.70-2.77
5 Ag 0.3832 0.6168 0.2500  2 S 2.41
6 Ag 0.6168 0.3832 0.7500  2 S 2.41
7 Ag 0.7487 0.2513 0.1182  3 S 2.70-2.77
8 Ag 0.7487 0.2513 0.3818  3 S 2.70-2.77
9 S 0.3822 0.6178 0.0503  3 Ag 2.41-2.58
10 S 0.3822 0.6178 0.4497  3 Ag 2.41-2.58
11 S 0.6178 0.3822 0.5503  3 Ag 2.41-2.58
12 S 0.6178 0.3822 0.9497  3 Ag 2.41-2.58
13 I 0.1198 0.8802 0.2500  4 Ag 3.05
14 I 0.8802 0.1198 0.7500  4 Ag 3.05

Here are the calculated final energy numbers, same order: -2.922 -2.986 -2.683 -2.688 -2.890 -3.340 -2.801 -2.490 -2.883 -3.048 (eV per atom).